Compound: KEuHfFeO6
Source: the Alexandria database
Functional: GGA+U
Structure: relaxed

**Space group**: F-43m
**DOS(E_F)**: 1.254 states/eV/atom
**E**: -79.15 eV per cell

Cell lengths 5.6720, 5.6720, 5.6720 Å; angles 60.00, 60.00, 60.00 degrees
Atoms (fractional coordinates):
K  0.0000  0.0000  0.0000
Eu  0.5000  0.5000  0.5000
Hf  0.7500  0.7500  0.7500
Fe  0.2500  0.2500  0.2500
O  0.0059  0.0059  0.4941
O  0.0059  0.4941  0.0059
O  0.0059  0.4941  0.4941
O  0.4941  0.0059  0.0059
O  0.4941  0.0059  0.4941
O  0.4941  0.4941  0.0059